Entry 1:
First-principles (GGA+U) data for an optimized crystal structure of CoP2SO, as listed in Alexandria via LeMat-Bulk.

Output
Crystal system   tetragonal
Energy above the lowest structure with this stoichiometry   0.5472 eV/atom
Total energy   -4.0531 eV per atom
Space-group type   P4/mmm, No. 123
Mass density   3.961 Mg/m³

a = 3.985 Å, b = 3.985 Å, c = 4.459 Å
α = 90.00°, β = 90.00°, γ = 90.00°
Each line ends with the local moment (μB).
Fractional coordinates of all 5 atoms:
P 0.000 0.500 0.000  0.00
P 0.500 0.000 0.000  0.00
S 0.000 0.000 0.500  0.02
Co 0.500 0.500 0.500  -0.11
O 0.000 0.000 0.000  0.00


Entry 2:
First-principles (GGA+U) data for an optimized crystal structure of CoP2SO, as listed in Alexandria via LeMat-Bulk.

Output
Crystal system   tetragonal
Energy above the lowest structure with this stoichiometry   0.6582 eV/atom
Total energy   -3.9420 eV per atom
Space-group type   P4/mmm, No. 123
Mass density   3.608 Mg/m³

a = 4.274 Å, b = 4.274 Å, c = 4.258 Å
α = 90.00°, β = 90.00°, γ = 90.00°
Each line ends with the local moment (μB).
Fractional coordinates of all 5 atoms:
P 0.000 0.500 0.000  -0.01
P 0.500 0.000 0.000  -0.01
S 0.000 0.000 0.500  0.38
Co 0.000 0.000 0.000  0.59
O 0.500 0.500 0.500  0.54


Entry 3:
First-principles (GGA+U) data for an optimized crystal structure of CoPS2O, as listed in Alexandria via LeMat-Bulk.

Output
Crystal system   tetragonal
Energy above the lowest structure with this stoichiometry   0.2380 eV/atom
Total energy   -3.6587 eV per atom
Space-group type   P4/mmm, No. 123
Mass density   3.391 Mg/m³

a = 4.416 Å, b = 4.416 Å, c = 4.271 Å
α = 90.00°, β = 90.00°, γ = 90.00°
Each line ends with the local moment (μB).
Fractional coordinates of all 5 atoms:
P 0.000 0.000 0.500  0.04
S 0.000 0.500 0.000  0.42
S 0.500 0.000 0.000  0.42
Co 0.000 0.000 0.000  1.25
O 0.500 0.500 0.500  1.11